[1]
Material: MnCo2H
Method: DFT, PBE-GGA
State: optimized geometry

Cell and atoms, written as extended XYZ:
```
16
Lattice="5.631 0.000 0.000 0.000 5.631 0.000 0.000 0.000 4.384" Properties=species:S:1:pos:R:3 pbc="T T T"
Mn 0.000 0.000 0.000
Mn 0.000 2.816 1.096
Mn 2.816 0.000 3.288
Mn 2.816 2.816 2.192
Co 0.831 1.408 2.740
Co 1.408 3.647 3.836
Co 1.408 4.800 1.644
Co 1.984 1.408 0.548
Co 3.647 4.223 0.548
Co 4.223 0.831 1.644
Co 4.223 1.984 3.836
Co 4.800 4.223 2.740
H 0.000 0.000 2.192
H 0.000 2.816 3.288
H 2.816 0.000 1.096
H 2.816 2.816 0.000
```

E above lowest polymorph = 104 kJ/mol of formula units
Uncorrected energy = -101.972 eV for the cell shown
Magnetization = 0.000 μB per atom

---

[2]
Material: La6PmTh3
Method: DFT, PBE-GGA
State: optimized geometry

Cell and atoms, written as extended XYZ:
```
10
Lattice="5.078 2.932 4.120 -5.078 2.932 4.120 0.000 -5.863 4.120" Properties=species:S:1:pos:R:3 pbc="T T T"
La -1.637 -3.023 4.120
La -3.280 -0.047 6.210
La -1.800 2.929 4.120
La 1.681 -2.817 6.210
La 3.437 0.094 4.120
La 1.599 2.864 6.210
Pm 0.000 0.000 3.123
Th 0.000 0.000 0.077
Th 0.000 0.000 6.219
Th 0.000 0.000 9.299
```

Uncorrected energy = -54.033 eV for the cell shown
Formation energy = 0.25 eV/atom
Magnetization = 0.000 μB per atom

---

[3]
Material: SrCaGe2C
Method: DFT, PBE-GGA
State: optimized geometry

Cell and atoms, written as extended XYZ:
```
5
Lattice="5.678 0.000 0.000 0.000 5.678 0.000 0.000 0.000 4.589" Properties=species:S:1:pos:R:3 pbc="T T T"
Sr 0.000 0.000 0.000
Ca 2.839 2.839 2.294
Ge 0.000 2.839 0.000
Ge 2.839 0.000 0.000
C 0.000 0.000 2.294
```

Uncorrected energy = -15.518 eV for the cell shown
Formation energy = 1.32 eV/atom
Magnetization = 0.000 μB per atom

---

[4]
Material: NdDyNpN3
Method: DFT, PBE-GGA
State: optimized geometry

Cell and atoms, written as extended XYZ:
```
12
Lattice="7.234 0.000 0.000 0.000 3.617 0.000 -1.275 0.000 8.604" Properties=species:S:1:pos:R:3 pbc="T T T"
Nd 1.033 0.904 1.167
Nd 4.927 2.713 7.437
Dy 1.596 2.713 7.326
Dy 4.364 0.904 1.278
Np -0.344 0.904 5.103
Np 6.303 2.713 3.501
N -0.337 0.904 7.299
N 0.841 2.713 5.085
N 2.722 2.713 1.042
N 3.237 0.904 7.562
N 5.119 0.904 3.519
N 6.296 2.713 1.305
```

Formation energy without anion corrections = -1.040 eV/atom
Uncorrected energy = -107.057 eV for the cell shown
Magnetization = 0.179 μB per atom

---

[5]
Material: Th2SnPb5
Method: DFT, PBE-GGA
State: optimized geometry

Cell and atoms, written as extended XYZ:
```
16
Lattice="6.994 0.000 0.000 0.000 13.985 0.000 0.000 0.000 4.777" Properties=species:S:1:pos:R:3 pbc="T T T"
Th 1.634 1.688 0.000
Th 1.864 8.681 0.000
Th 5.131 5.304 0.000
Th 5.361 12.297 0.000
Sn 0.000 0.000 2.389
Sn 3.497 6.992 2.389
Pb 0.000 6.992 2.389
Pb 0.093 10.498 2.389
Pb 1.677 5.219 0.000
Pb 1.821 12.211 0.000
Pb 3.404 3.506 2.389
Pb 3.497 0.000 2.389
Pb 3.590 10.479 2.389
Pb 5.174 1.774 0.000
Pb 5.318 8.766 0.000
Pb 6.901 3.486 2.389
```

Uncorrected energy = -79.004 eV for the cell shown
Formation energy = -0.26 eV/atom
Magnetization = 0.000 μB per atom

---

[6]
Material: CuMo2HRu
Method: DFT, PBE-GGA
State: optimized geometry

Cell and atoms, written as extended XYZ:
```
5
Lattice="3.946 0.000 0.000 0.000 3.946 0.000 0.000 0.000 3.875" Properties=species:S:1:pos:R:3 pbc="T T T"
Cu 0.000 0.000 0.000
Mo 0.000 1.973 1.938
Mo 1.973 0.000 1.938
H 1.973 1.973 1.938
Ru 1.973 1.973 0.000
```

E above lowest polymorph = 0 kJ/mol of formula units
Uncorrected energy = -37.519 eV for the cell shown
Magnetization = 0.000 μB per atom

---

[7]
Material: PaAlInO6
Method: DFT, PBE-GGA
State: optimized geometry

Cell and atoms, written as extended XYZ:
```
9
Lattice="5.249 0.000 0.000 -2.624 4.545 0.000 0.000 0.000 4.746" Properties=species:S:1:pos:R:3 pbc="T T T"
Pa 0.000 0.000 0.000
Al 2.624 1.515 2.373
In 0.000 3.030 2.373
O 1.787 0.158 3.469
O 1.030 1.469 1.276
O 3.462 0.158 1.276
O 1.868 2.919 3.469
O 4.218 1.469 3.469
O 3.381 2.919 1.276
```

Formation energy without anion corrections = -2.499 eV/atom
Uncorrected energy = -68.219 eV for the cell shown
Magnetization = 0.095 μB per atom

---

[8]
Material: KAs2Ru
Method: DFT, PBE-GGA
State: optimized geometry

Cell and atoms, written as extended XYZ:
```
12
Lattice="4.124 0.000 0.000 -2.062 3.572 0.000 0.000 0.000 19.100" Properties=species:S:1:pos:R:3 pbc="T T T"
K 0.000 0.000 0.000
K 0.000 2.381 12.733
K 2.062 1.191 6.367
As 0.000 0.000 4.034
As 0.000 0.000 15.065
As 0.000 2.381 8.699
As 0.000 2.381 16.768
As 2.062 1.191 2.332
As 2.062 1.191 10.401
Ru 0.000 0.000 9.550
Ru 0.000 2.381 3.183
Ru 2.062 1.191 15.916
```

E above lowest polymorph = 17 kJ/mol of formula units
Uncorrected energy = -60.945 eV for the cell shown
Formation energy = -0.16 eV/atom
Magnetization = 0.001 μB per atom

---

[9]
Material: Hf2BN
Method: DFT, PBE-GGA
State: optimized geometry

Cell and atoms, written as extended XYZ:
```
16
Lattice="4.999 0.000 0.000 0.000 4.999 0.000 0.000 0.000 10.407" Properties=species:S:1:pos:R:3 pbc="T T T"
Hf 1.128 1.250 1.301
Hf 1.250 3.628 3.903
Hf 1.250 3.871 9.106
Hf 1.371 1.250 6.504
Hf 3.628 3.749 6.504
Hf 3.749 1.128 9.106
Hf 3.749 1.371 3.903
Hf 3.871 3.749 1.301
B 0.000 0.000 5.204
B 0.000 2.500 7.805
B 2.500 0.000 2.602
B 2.500 2.500 0.000
N 0.000 0.000 0.000
N 0.000 2.500 2.602
N 2.500 0.000 7.805
N 2.500 2.500 5.204
```

E above lowest polymorph = 234 kJ/mol of formula units
Formation energy without anion corrections = -0.652 eV/atom
Uncorrected energy = -150.068 eV for the cell shown
Magnetization = 0.000 μB per atom

---

[10]
Material: CaCeNd2As4
Method: DFT, PBE-GGA
State: optimized geometry

Cell and atoms, written as extended XYZ:
```
8
Lattice="7.330 0.000 0.000 0.000 4.264 0.000 -2.414 0.000 6.949" Properties=species:S:1:pos:R:3 pbc="T T T"
Ca 0.000 0.000 0.000
Ce 3.665 2.132 0.000
Nd -1.207 2.132 3.475
Nd 2.458 0.000 3.475
As 0.058 0.000 5.254
As 1.288 2.132 1.711
As 4.859 0.000 1.695
As 3.629 2.132 5.238
```

Uncorrected energy = -47.137 eV for the cell shown
Formation energy = -1.38 eV/atom
Magnetization = 0.018 μB per atom

---

[11]
Material: IrCIO2
Method: DFT, PBE-GGA
State: optimized geometry

Cell and atoms, written as extended XYZ:
```
5
Lattice="3.677 0.000 0.000 0.000 3.677 0.000 0.000 0.000 8.667" Properties=species:S:1:pos:R:3 pbc="T T T"
Ir 0.000 0.000 0.000
C 1.839 1.839 4.333
I 0.000 0.000 4.333
O 0.000 1.839 0.000
O 1.839 0.000 0.000
```

E above lowest polymorph = 0 kJ/mol of formula units
Formation energy without anion corrections = 0.768 eV/atom
Uncorrected energy = -25.709 eV for the cell shown
Magnetization = 0.177 μB per atom

---

[12]
Material: Cr5PbS8
Method: DFT, PBE-GGA
State: optimized geometry

Cell and atoms, written as extended XYZ:
```
14
Lattice="9.042 -1.729 0.000 9.042 1.729 0.000 -2.137 0.000 8.339" Properties=species:S:1:pos:R:3 pbc="T T T"
Cr 0.000 0.000 0.000
Cr 0.008 0.000 3.016
Cr 5.844 0.000 2.556
Cr 5.945 0.000 5.561
Cr 11.969 0.000 2.776
Pb 2.362 0.000 6.718
S 1.876 0.000 1.532
S 3.925 0.000 4.120
S 8.024 0.000 1.526
S 7.798 0.000 7.034
S 10.066 0.000 4.248
S 13.876 0.000 1.328
S 14.055 0.000 6.900
S 15.925 0.000 4.089
```

Formation energy without anion corrections = -0.637 eV/atom
Uncorrected energy = -93.765 eV for the cell shown
Magnetization = 1.085 μB per atom

---

[13]
Material: YBe2Ag
Method: DFT, PBE-GGA
State: optimized geometry

Cell and atoms, written as extended XYZ:
```
12
Lattice="3.963 0.000 0.000 -1.982 3.432 0.000 0.000 0.000 15.129" Properties=species:S:1:pos:R:3 pbc="T T T"
Y 0.000 0.000 0.000
Y 0.000 2.288 10.086
Y 1.982 1.144 5.043
Be 0.000 0.000 7.187
Be 0.000 0.000 12.059
Be 0.000 2.288 2.144
Be 0.000 2.288 7.016
Be 1.982 1.144 1.973
Be 1.982 1.144 12.230
Ag 0.000 0.000 2.991
Ag 0.000 2.288 13.077
Ag 1.982 1.144 8.034
```

E above lowest polymorph = 9 kJ/mol of formula units
Uncorrected energy = -50.148 eV for the cell shown
Formation energy = 0.01 eV/atom
Magnetization = 0.000 μB per atom

---

[14]
Material: BeCrIn2
Method: DFT, PBE-GGA
State: optimized geometry

Cell and atoms, written as extended XYZ:
```
4
Lattice="3.097 0.000 0.000 0.000 3.097 0.000 0.000 0.000 7.448" Properties=species:S:1:pos:R:3 pbc="T T T"
Be 0.000 0.000 0.000
Cr 1.548 1.548 0.969
In 0.000 0.000 2.845
In 1.548 1.548 5.498
```

Uncorrected energy = -17.342 eV for the cell shown
Formation energy = 0.37 eV/atom
Magnetization = 0.637 μB per atom

---

[15]
Material: CrBr2Cl
Method: DFT, PBE-GGA
State: optimized geometry

Cell and atoms, written as extended XYZ:
```
8
Lattice="14.054 0.000 0.000 0.000 3.371 0.000 -1.918 0.000 4.842" Properties=species:S:1:pos:R:3 pbc="T T T"
Cr 0.000 0.000 0.000
Cr 7.027 1.686 0.000
Br 1.736 1.686 0.688
Br 3.373 0.000 4.153
Br 8.763 0.000 0.688
Br 10.400 1.686 4.153
Cl -0.959 1.686 2.421
Cl 6.068 0.000 2.421
```

E above lowest polymorph = 153 kJ/mol of formula units
Formation energy without anion corrections = -0.374 eV/atom
Uncorrected energy = -32.627 eV for the cell shown
Magnetization = 0.747 μB per atom

---

[16]
Material: PuB2Rh6
Method: DFT, PBE-GGA
State: optimized geometry

Cell and atoms, written as extended XYZ:
```
18
Lattice="0.000 5.234 5.234 5.234 0.000 5.234 5.234 5.234 0.000" Properties=species:S:1:pos:R:3 pbc="T T T"
Pu 1.308 1.308 1.308
Pu 9.159 9.159 9.159
B 5.234 2.617 2.617
B 2.617 5.234 2.617
B 2.617 2.617 5.234
B 5.234 5.234 5.234
Rh 3.925 3.925 1.670
Rh 3.925 1.670 3.925
Rh 6.180 3.925 3.925
Rh 6.542 6.542 4.287
Rh 6.542 4.287 6.542
Rh 8.797 6.542 6.542
Rh 1.670 3.925 3.925
Rh 3.925 6.180 3.925
Rh 3.925 3.925 6.180
Rh 4.287 6.542 6.542
Rh 6.542 8.797 6.542
Rh 6.542 6.542 8.797
```

Uncorrected energy = -144.127 eV for the cell shown
Formation energy = -0.03 eV/atom
Magnetization = 0.361 μB per atom

---

[17]
Material: AlCN
Method: DFT, PBE-GGA
State: optimized geometry

Cell and atoms, written as extended XYZ:
```
12
Lattice="7.108 0.000 0.000 0.000 2.495 0.000 0.000 0.000 5.621" Properties=species:S:1:pos:R:3 pbc="T T T"
Al 1.283 0.000 0.000
Al 1.283 1.247 2.810
Al 5.824 0.000 0.000
Al 5.824 1.247 2.810
C 0.000 0.000 3.828
C 0.000 1.247 1.018
C 3.554 0.000 4.518
C 3.554 1.247 1.707
N 2.485 0.000 1.690
N 2.485 1.247 4.500
N 4.623 0.000 1.690
N 4.623 1.247 4.500
```

Formation energy without anion corrections = 0.802 eV/atom
Uncorrected energy = -75.545 eV for the cell shown
Magnetization = 0.000 μB per atom

---

[18]
Material: CaNdEr4S8
Method: DFT, PBE-GGA
State: optimized geometry

Cell and atoms, written as extended XYZ:
```
14
Lattice="4.024 2.323 6.668 -4.024 2.323 6.668 0.000 -4.646 6.668" Properties=species:S:1:pos:R:3 pbc="T T T"
Ca 0.000 0.000 0.000
Nd 0.000 0.000 12.560
Er -2.043 -1.179 9.178
Er 0.000 0.000 5.036
Er 2.043 -1.179 9.178
Er 0.000 2.359 9.178
S 0.000 -2.230 10.739
S -1.931 1.115 10.739
S 0.000 0.000 7.688
S -1.878 -1.084 14.342
S 1.931 1.115 10.739
S 0.000 0.000 17.301
S 1.878 -1.084 14.342
S 0.000 2.168 14.342
```

Formation energy without anion corrections = -1.986 eV/atom
Uncorrected energy = -85.849 eV for the cell shown
Magnetization = 0.000 μB per atom

---

[19]
Material: KLi2P2
Method: DFT, PBE-GGA
State: optimized geometry

Cell and atoms, written as extended XYZ:
```
10
Lattice="4.462 0.000 0.000 0.000 4.462 0.000 0.000 0.000 9.876" Properties=species:S:1:pos:R:3 pbc="T T T"
K 0.000 0.000 0.000
K 2.231 2.231 4.938
Li 0.000 2.231 2.469
Li 0.000 2.231 7.407
Li 2.231 0.000 2.469
Li 2.231 0.000 7.407
P 0.000 0.000 3.852
P 0.000 0.000 6.024
P 2.231 2.231 1.086
P 2.231 2.231 8.789
```

E above lowest polymorph = 0 kJ/mol of formula units
Uncorrected energy = -36.373 eV for the cell shown
Formation energy = -0.49 eV/atom
Magnetization = 0.000 μB per atom

---

[20]
Material: CaHo2TmAu4
Method: DFT, PBE-GGA
State: optimized geometry

Cell and atoms, written as extended XYZ:
```
8
Lattice="2.525 1.458 8.335 -2.525 1.458 8.335 0.000 -2.916 8.335" Properties=species:S:1:pos:R:3 pbc="T T T"
Ca 0.000 0.000 0.000
Ho 0.000 0.000 6.284
Ho 0.000 0.000 18.722
Tm 0.000 0.000 12.503
Au 0.000 0.000 3.263
Au 0.000 0.000 9.498
Au 0.000 0.000 15.508
Au 0.000 0.000 21.743
```

Uncorrected energy = -35.601 eV for the cell shown
Formation energy = -0.86 eV/atom
Magnetization = 0.000 μB per atom